Density functional theory data (PBE-GGA) for an optimized crystal structure of Ba2AgBi4Pd3.

- calculated volume (Å³ per cell) = 278.1
- formation energy from the elements (eV per atom) = -0.58
- E (eV/cell) = -43.59
- density (Mg/m³) = 9.18

The structure in POSCAR format:
```
Ba2AgBi4Pd3
1.0
4.9705 0.0000 0.0000
0.0000 4.9705 0.0000
0.0000 0.0000 11.2585
Ba Ag Bi Pd
2 1 4 3
Direct
0.0000 0.5000 0.2415
0.5000 0.0000 0.7585
0.5000 0.5000 0.0000
0.0000 0.0000 0.5000
0.0000 0.5000 0.8688
0.5000 0.0000 0.1312
0.5000 0.5000 0.5000
0.0000 0.0000 0.0000
0.0000 0.5000 0.6223
0.5000 0.0000 0.3777
```

Density functional theory data (PBE-GGA) for an optimized crystal structure of TaCoTc.

- calculated volume (Å³ per cell) = 43.1
- formation energy from the elements (eV per atom) = -0.03
- E (eV/cell) = -29.42
- density (Mg/m³) = 13.02

The structure in POSCAR format:
```
TaCoTc
1.0
-1.3541 1.3541 5.8757
1.3541 -1.3541 5.8757
1.3541 1.3541 -5.8757
Ta Co Tc
1 1 1
Direct
0.0000 0.0000 0.0000
0.3322 0.3322 0.0000
0.6922 0.6922 0.0000
```

- What is the E in the first record?
  -43.59 eV/cell

Repeat the second record exactly.
Density functional theory data (PBE-GGA) for an optimized crystal structure of TaCoTc.

- calculated volume (Å³ per cell) = 43.1
- formation energy from the elements (eV per atom) = -0.03
- E (eV/cell) = -29.42
- density (Mg/m³) = 13.02

The structure in POSCAR format:
```
TaCoTc
1.0
-1.3541 1.3541 5.8757
1.3541 -1.3541 5.8757
1.3541 1.3541 -5.8757
Ta Co Tc
1 1 1
Direct
0.0000 0.0000 0.0000
0.3322 0.3322 0.0000
0.6922 0.6922 0.0000
```

- Which formula does entry 1 have?
  Ba2AgBi4Pd3